! ZrC, relaxed, DFT GGA-PBE; values from VASP
! energy relative to the lowest polymorph listed for this composition = 792 meV per atom
! space-group type = I-43m
! calculated total energy = -8.901 eV per atom
! energy of formation from the pure elements = -0.015 eV per atom
! total magnetization = 0.00 μB per atom
&SYSTEM
  ibrav = 0, nat = 8, ntyp = 2
/
ATOMIC_SPECIES
Zr 91.22 Zr.upf
C 12.01 C.upf
CELL_PARAMETERS angstrom
-3.489 3.489 3.489
3.489 -3.489 3.489
3.489 3.489 -3.489
ATOMIC_POSITIONS angstrom
Zr 1.120 1.120 -1.120
Zr 1.120 -1.120 1.120
Zr -1.120 1.120 1.120
Zr 2.369 2.369 2.369
C 2.417 2.417 -2.417
C 2.417 -2.417 2.417
C 1.072 1.072 1.072
C -2.417 2.417 2.417